A plane-wave DFT calculation with PBE was carried out for a geometry-optimized BiSeBr2F structure.

Lattice parameters (Å, degrees): 5.621 5.621 3.950 90.00 90.00 90.00
Atoms (fractional coordinates):
Bi  0.000  0.000  0.000
Se  0.500  0.500  0.000
Br  0.000  0.500  0.500
Br  0.500  0.000  0.500
F  0.500  0.500  0.500

Values from the calculation:
Its space group is P4/mmm, No. 123. Its uncorrected formation energy is -0.0333 eV per atom. Its magnetization is 0.5 μB/f.u. The volume comes out at 25.0 Å³ per atom.

---

A plane-wave DFT calculation with PBE was carried out for a geometry-optimized BaZn3O3 structure.

Lattice parameters (Å, degrees): 6.068 6.068 6.068 90.00 90.00 90.00
Atoms (fractional coordinates):
Ba  0.000  0.000  0.000
Ba  0.500  0.500  0.500
Zn  0.000  0.250  0.500
Zn  0.000  0.750  0.500
Zn  0.250  0.500  0.000
Zn  0.500  0.000  0.250
Zn  0.500  0.000  0.750
Zn  0.750  0.500  0.000
O  0.000  0.500  0.250
O  0.000  0.500  0.750
O  0.250  0.000  0.500
O  0.500  0.250  0.000
O  0.500  0.750  0.000
O  0.750  0.000  0.500

Values from the calculation:
Its space group is Pm-3n, No. 223. Its uncorrected formation energy is -1.0551 eV per atom. Its magnetization is 0.0 μB/f.u. The volume comes out at 16.0 Å³ per atom.

---

A plane-wave DFT calculation with PBE was carried out for a geometry-optimized Ca2Nd6Dy structure.

Lattice parameters (Å, degrees): 10.417 10.417 10.417 160.83 117.25 66.27
Atoms (fractional coordinates):
Ca  0.158  0.158  0.000
Ca  0.842  0.842  0.000
Nd  0.154  0.333  0.821
Nd  0.208  0.000  0.208
Nd  0.487  0.667  0.821
Nd  0.513  0.333  0.179
Nd  0.792  0.000  0.792
Nd  0.846  0.667  0.179
Dy  0.500  0.500  0.000

Values from the calculation:
Its space group is Immm, No. 71. The value obtained for the calculated formation energy is 0.181 eV per atom. Its magnetization is 0.0 μB/f.u. The volume comes out at 36.5 Å³ per atom.

---

A plane-wave DFT calculation with PBE was carried out for a geometry-optimized TiNiSn2 structure.

Lattice parameters (Å, degrees): 9.628 9.628 9.628 154.35 154.35 36.59
Atoms (fractional coordinates):
Ti  0.000  0.000  0.000
Ti  0.750  0.250  0.500
Ni  0.250  0.750  0.500
Ni  0.500  0.500  0.000
Sn  0.140  0.625  0.015
Sn  0.375  0.390  0.515
Sn  0.610  0.125  0.985
Sn  0.875  0.860  0.485

Values from the calculation:
Its space group is I-42d, No. 122. The value obtained for the calculated formation energy is 0.199 eV per atom. Its magnetization is 0.0 μB/f.u. The volume comes out at 20.9 Å³ per atom.

---

A plane-wave DFT calculation with PBE was carried out for a geometry-optimized Na3Ge8Pd3 structure.

Lattice parameters (Å, degrees): 8.210 8.210 8.210 149.17 106.83 81.47
Atoms (fractional coordinates):
Na  0.000  0.000  0.000
Na  0.322  0.322  0.000
Na  0.678  0.678  0.000
Ge  0.039  0.669  0.371
Ge  0.163  0.871  0.292
Ge  0.298  0.669  0.629
Ge  0.421  0.129  0.292
Ge  0.579  0.871  0.708
Ge  0.702  0.331  0.371
Ge  0.837  0.129  0.708
Ge  0.961  0.331  0.629
Pd  0.277  0.500  0.777
Pd  0.500  0.000  0.500
Pd  0.723  0.500  0.223

Values from the calculation:
Its space group is Immm, No. 71. The value obtained for the calculated formation energy is -0.212 eV per atom. Its magnetization is 0.0 μB/f.u. The volume comes out at 19.0 Å³ per atom.

---

A plane-wave DFT calculation with PBE was carried out for a geometry-optimized HgSbH3 structure.

Lattice parameters (Å, degrees): 4.018 4.018 4.018 90.00 90.00 90.00
Atoms (fractional coordinates):
Hg  0.000  0.000  0.000
Sb  0.500  0.500  0.500
H  0.000  0.000  0.500
H  0.000  0.500  0.000
H  0.500  0.000  0.000

Values from the calculation:
Its space group is Pm-3m, No. 221. For the energy, the calculation gives -10.1 eV per cell. Its magnetization is 0.0 μB/f.u. The volume comes out at 13.0 Å³ per atom.

---

A plane-wave DFT calculation with PBE was carried out for a geometry-optimized CeTa2AlC4 structure.

Lattice parameters (Å, degrees): 5.722 5.722 11.176 90.00 90.00 146.68
Atoms (fractional coordinates):
Ce  0.111  0.889  0.750
Ce  0.889  0.111  0.250
Ta  0.370  0.630  0.543
Ta  0.370  0.630  0.957
Ta  0.630  0.370  0.043
Ta  0.630  0.370  0.457
Al  0.156  0.844  0.250
Al  0.844  0.156  0.750
C  0.000  0.000  0.000
C  0.000  0.000  0.500
C  0.266  0.734  0.112
C  0.266  0.734  0.388
C  0.441  0.559  0.750
C  0.559  0.441  0.250
C  0.734  0.266  0.612
C  0.734  0.266  0.888

Values from the calculation:
Its space group is Cmcm, No. 63. The value obtained for the calculated formation energy is -0.297 eV per atom. Its magnetization is 0.0 μB/f.u. The volume comes out at 12.6 Å³ per atom.

---

A plane-wave DFT calculation with PBE was carried out for a geometry-optimized Mg3BRh structure.

Lattice parameters (Å, degrees): 4.408 4.408 4.408 90.00 90.00 90.00
Atoms (fractional coordinates):
Mg  0.000  0.000  0.500
Mg  0.000  0.500  0.000
Mg  0.500  0.000  0.000
B  0.000  0.000  0.000
Rh  0.500  0.500  0.500

Values from the calculation:
Its space group is Pm-3m, No. 221. The value obtained for the calculated formation energy is 0.343 eV per atom. Its magnetization is 0.0 μB/f.u. The volume comes out at 17.1 Å³ per atom.

---

A plane-wave DFT calculation with PBE was carried out for a geometry-optimized Fe3As5 structure.

Lattice parameters (Å, degrees): 7.153 7.153 7.058 100.05 100.05 129.76
Atoms (fractional coordinates):
Fe  0.000  0.000  0.000
Fe  0.023  0.525  0.814
Fe  0.318  0.318  0.638
Fe  0.505  0.822  0.328
Fe  0.525  0.023  0.814
Fe  0.822  0.505  0.328
As  0.090  0.875  0.688
As  0.221  0.585  0.532
As  0.370  0.998  0.104
As  0.426  0.426  0.317
As  0.504  0.718  0.953
As  0.585  0.221  0.532
As  0.718  0.504  0.953
As  0.875  0.090  0.688
As  0.928  0.928  0.322
As  0.998  0.370  0.104

Values from the calculation:
Its space group is Cm, No. 8. The value obtained for the calculated formation energy is 0.162 eV per atom. Its magnetization is 5.1 μB/f.u. The volume comes out at 15.8 Å³ per atom.

---

A plane-wave DFT calculation with PBE was carried out for a geometry-optimized AcPmDy2S6 structure.

Lattice parameters (Å, degrees): 7.452 7.452 7.452 57.26 57.26 57.26
Atoms (fractional coordinates):
Ac  0.000  0.000  0.000
Pm  0.490  0.490  0.490
Dy  0.284  0.284  0.284
Dy  0.788  0.788  0.788
S  0.074  0.647  0.428
S  0.174  0.572  0.901
S  0.428  0.074  0.647
S  0.572  0.901  0.174
S  0.647  0.428  0.074
S  0.901  0.174  0.572

Values from the calculation:
Its space group is R3, No. 146. Its uncorrected formation energy is -2.0736 eV per atom. Its magnetization is 0.0 μB/f.u. The volume comes out at 27.4 Å³ per atom.

---

A plane-wave DFT calculation with PBE was carried out for a geometry-optimized MgAs2SBr structure.

Lattice parameters (Å, degrees): 5.153 5.153 4.811 90.00 90.00 90.00
Atoms (fractional coordinates):
Mg  0.000  0.000  0.000
As  0.000  0.500  0.000
As  0.500  0.000  0.000
S  0.500  0.500  0.500
Br  0.000  0.000  0.500

Values from the calculation:
Its space group is P4/mmm, No. 123. Its uncorrected formation energy is 0.6278 eV per atom. Its magnetization is 0.0 μB/f.u. The volume comes out at 25.6 Å³ per atom.

---

A plane-wave DFT calculation with PBE was carried out for a geometry-optimized BaNdCu2P2 structure.

Lattice parameters (Å, degrees): 4.076 4.076 8.881 90.00 90.00 120.00
Atoms (fractional coordinates):
Ba  0.000  0.000  0.000
Nd  0.000  0.000  0.500
Cu  0.333  0.667  0.724
Cu  0.667  0.333  0.276
P  0.333  0.667  0.277
P  0.667  0.333  0.723

Values from the calculation:
Its space group is P-3m1, No. 164. The value obtained for the calculated formation energy is -0.856 eV per atom. Its magnetization is 0.0 μB/f.u. The volume comes out at 21.3 Å³ per atom.

---

A plane-wave DFT calculation with PBE was carried out for a geometry-optimized TaBe2Cr structure.

Lattice parameters (Å, degrees): 2.645 3.338 5.282 90.00 92.58 90.00
Atoms (fractional coordinates):
Ta  0.000  0.000  0.000
Be  0.498  0.500  0.709
Be  0.502  0.500  0.291
Cr  0.000  0.000  0.500

Values from the calculation:
Its space group is P2/m, No. 10. The value obtained for the calculated formation energy is 0.061 eV per atom. Its magnetization is 0.0 μB/f.u. The volume comes out at 11.6 Å³ per atom.

---

A plane-wave DFT calculation with PBE was carried out for a geometry-optimized NaSnB structure.

Lattice parameters (Å, degrees): 6.969 6.969 4.908 90.00 90.00 148.59
Atoms (fractional coordinates):
Na  0.078  0.922  0.750
Na  0.922  0.078  0.250
Sn  0.326  0.674  0.750
Sn  0.674  0.326  0.250
B  0.279  0.721  0.250
B  0.721  0.279  0.750

Values from the calculation:
Its space group is Cmcm, No. 63. The value obtained for the calculated formation energy is 0.561 eV per atom. Its magnetization is 0.0 μB/f.u. The volume comes out at 20.7 Å³ per atom.

---

A plane-wave DFT calculation with PBE was carried out for a geometry-optimized ReSeBr2 structure.

Lattice parameters (Å, degrees): 3.069 3.069 9.864 90.00 90.00 90.00
Atoms (fractional coordinates):
Re  0.000  0.000  0.000
Se  0.500  0.500  0.147
Br  0.000  0.000  0.485
Br  0.500  0.500  0.818

Values from the calculation:
Its space group is P4mm, No. 99. Its uncorrected formation energy is 0.3313 eV per atom. Its magnetization is 0.0 μB/f.u. The volume comes out at 23.2 Å³ per atom.

---

A plane-wave DFT calculation with PBE was carried out for a geometry-optimized AcTlHgRh structure.

Lattice parameters (Å, degrees): 5.254 5.254 5.254 60.00 60.00 60.00
Atoms (fractional coordinates):
Ac  0.000  0.000  0.000
Tl  0.500  0.500  0.500
Hg  0.750  0.750  0.750
Rh  0.250  0.250  0.250

Values from the calculation:
Its space group is F-43m, No. 216. The value obtained for the calculated formation energy is -0.222 eV per atom. Its magnetization is 0.0 μB/f.u. The volume comes out at 25.6 Å³ per atom.

---

A plane-wave DFT calculation with PBE was carried out for a geometry-optimized CsSbIr2Au structure.

Lattice parameters (Å, degrees): 5.061 5.061 5.873 90.00 90.00 90.00
Atoms (fractional coordinates):
Cs  0.000  0.000  0.000
Sb  0.500  0.500  0.000
Ir  0.000  0.500  0.500
Ir  0.500  0.000  0.500
Au  0.000  0.000  0.500

Values from the calculation:
Its space group is P4/mmm, No. 123. Its uncorrected formation energy is 1.6816 eV per atom. Its magnetization is 1.6 μB/f.u. The volume comes out at 30.1 Å³ per atom.